Entry 1:
# Ba3La2Cl12, PBEsol geometry, DFT meta-GGA SCAN
data_Ba3La2Cl12
_cell_length_a 10.049
_cell_length_b 14.299
_cell_length_c 15.739
_cell_angle_alpha 90.00
_cell_angle_beta 108.61
_cell_angle_gamma 90.00
_space_group_name_H-M_alt 'C 1 2/c 1'
_space_group_IT_number 15
loop_
_space_group_symop_operation_xyz
'x,y,z'
'-x,-y,-z'
'-x,y,-z+1/2'
'x,-y,z+1/2'
'x+1/2,y+1/2,z'
'-x+1/2,-y+1/2,-z'
'-x+1/2,y+1/2,-z+1/2'
'x+1/2,-y+1/2,z+1/2'
loop_
_atom_site_label
_atom_site_type_symbol
_atom_site_fract_x
_atom_site_fract_y
_atom_site_fract_z
Ba1 Ba 0.000 0.125 0.250
Ba2 Ba 0.166 0.375 0.082
La1 La 0.170 0.125 0.589
Cl1 Cl 0.071 0.233 0.924
Cl2 Cl 0.075 0.005 0.424
Cl3 Cl 0.100 0.246 0.424
Cl4 Cl 0.103 0.484 0.423
Cl5 Cl 0.235 0.008 0.742
Cl6 Cl 0.244 0.259 0.258
# Offset from the most stable computed form ... 3.2 kJ/mol of atoms
# Raw formation energy ... -2.723 eV/atom
# Spin magnetization ... 0.00 μB per formula unit

Entry 2:
# MnCu2Ir, PBEsol geometry, DFT meta-GGA SCAN
data_MnCu2Ir
_cell_length_a 2.561
_cell_length_b 4.368
_cell_length_c 4.497
_cell_angle_alpha 90.00
_cell_angle_beta 93.00
_cell_angle_gamma 90.00
_space_group_name_H-M_alt 'P 1 2/m 1'
_space_group_IT_number 10
loop_
_space_group_symop_operation_xyz
'x,y,z'
'-x,-y,-z'
'-x,y,-z'
'x,-y,z'
loop_
_atom_site_label
_atom_site_type_symbol
_atom_site_fract_x
_atom_site_fract_y
_atom_site_fract_z
Mn1 Mn 0.000 0.000 0.000
Cu1 Cu 0.234 0.500 0.754
Ir1 Ir 0.500 0.000 0.500
# DFT formation energy ... -0.1 eV/f.u.
# Spin magnetization ... 3.92 μB per formula unit

Entry 3:
# BaMgCr, PBEsol geometry, DFT meta-GGA SCAN
data_BaMgCr
_cell_length_a 7.541
_cell_length_b 7.541
_cell_length_c 7.541
_cell_angle_alpha 90.00
_cell_angle_beta 90.00
_cell_angle_gamma 90.00
_space_group_name_H-M_alt 'F -4 3 m'
_space_group_IT_number 216
_space_group_name_Hall 'F -4 2 3'
loop_
_atom_site_label
_atom_site_type_symbol
_atom_site_fract_x
_atom_site_fract_y
_atom_site_fract_z
Ba1 Ba 0.000 0.000 0.000
Mg1 Mg 0.250 0.250 0.250
Cr1 Cr 0.000 0.000 0.500
# DFT formation energy ... 1.8 eV/f.u.
# Offset from the most stable computed form ... 29.5 kJ/mol of atoms
# Spin magnetization ... 5.09 μB per formula unit

Entry 4:
# YSb2Ir2, PBEsol geometry, DFT meta-GGA SCAN
data_YSb2Ir2
_cell_length_a 4.141
_cell_length_b 4.141
_cell_length_c 12.153
_cell_angle_alpha 90.00
_cell_angle_beta 90.00
_cell_angle_gamma 90.00
_space_group_name_H-M_alt 'I 4/m m m'
_space_group_IT_number 139
_space_group_name_Hall '-I 4 2'
loop_
_atom_site_label
_atom_site_type_symbol
_atom_site_fract_x
_atom_site_fract_y
_atom_site_fract_z
Y1 Y 0.000 0.000 0.000
Sb1 Sb 0.000 0.000 0.379
Ir1 Ir 0.000 0.500 0.250
# Raw formation energy ... -0.425 eV/atom
# Spin magnetization ... 0.00 μB per formula unit

Entry 5:
# Li2CuPt, PBEsol geometry, DFT meta-GGA SCAN
data_Li2CuPt
_cell_length_a 3.656
_cell_length_b 3.656
_cell_length_c 7.511
_cell_angle_alpha 90.00
_cell_angle_beta 90.00
_cell_angle_gamma 90.00
_space_group_name_H-M_alt 'I 4/m m m'
_space_group_IT_number 139
_space_group_name_Hall '-I 4 2'
loop_
_atom_site_label
_atom_site_type_symbol
_atom_site_fract_x
_atom_site_fract_y
_atom_site_fract_z
Li1 Li 0.000 0.500 0.250
Cu1 Cu 0.000 0.000 0.000
Pt1 Pt 0.000 0.000 0.500
# DFT formation energy ... -1.6 eV/f.u.
# Offset from the most stable computed form ... 1.4 kJ/mol of atoms
# Spin magnetization ... 0.00 μB per formula unit

Entry 6:
# CrNiIN2, PBEsol geometry, DFT meta-GGA SCAN
data_CrNiIN2
_cell_length_a 3.601
_cell_length_b 3.601
_cell_length_c 5.582
_cell_angle_alpha 90.00
_cell_angle_beta 90.00
_cell_angle_gamma 90.00
_space_group_name_H-M_alt 'P 4/m m m'
_space_group_IT_number 123
_space_group_name_Hall '-P 4 2'
loop_
_atom_site_label
_atom_site_type_symbol
_atom_site_fract_x
_atom_site_fract_y
_atom_site_fract_z
Cr1 Cr 0.000 0.000 0.000
Ni1 Ni 0.500 0.500 0.500
I1 I 0.000 0.000 0.500
N1 N 0.000 0.500 0.000
# Raw formation energy ... 0.652 eV/atom
# Spin magnetization ... 0.99 μB per formula unit